Record 1
First-principles (PBE-GGA) data for crystalline Ce3Fe2 at its relaxed geometry, as listed in the Alexandria database.

Cell: 6.4515 6.4515 6.9462 Å, 62.33 62.33 60.00°
With the nearest neighbours (Å) after each atom.
Sites, in units of the cell vectors:
Fe 0.8273 0.8273 0.5181  3 Ce 2.53, 1 Fe 2.72
Fe 0.3273 0.3273 0.0181  3 Ce 2.53, 1 Fe 2.72
Fe 0.1727 0.1727 0.4819  3 Ce 2.53, 1 Fe 2.72
Fe 0.6727 0.6727 0.9819  3 Ce 2.53, 1 Fe 2.72
Ce 0.1437 0.7500 0.7500  2 Fe 2.53
Ce 0.7500 0.3563 0.7500  2 Fe 2.53
Ce 0.3563 0.1437 0.7500  2 Fe 2.53
Ce 0.2500 0.6437 0.2500  2 Fe 2.53
Ce 0.6437 0.8563 0.2500  2 Fe 2.53
Ce 0.8563 0.2500 0.2500  2 Fe 2.53

Density of states at the Fermi level (states/eV per cell): 13.99
Space-group type: R-3c, No. 167
Electronic total energy (eV per atom): -6.89

Record 2
First-principles (PBE-GGA) data for crystalline AgSn2BiTe4 at its relaxed geometry, as listed in the Alexandria database.

Cell: 4.5152 7.6771 7.6611 Å, 109.53 90.00 90.00°
With the nearest neighbours (Å) after each atom.
Sites, in units of the cell vectors:
Ag 0.5000 0.5000 0.0000  6 Te 3.03-3.10
Sn 0.5000 0.0000 0.5000  6 Te 3.22-3.23
Sn 0.0000 0.5000 0.5000  6 Te 3.12-3.15
Bi 0.0000 0.0000 0.0000  6 Te 3.14-3.17
Te 0.5000 0.2595 0.2434  1 Ag 3.03, 3 Sn 3.15-3.23, 2 Bi 3.17
Te 0.5000 0.7405 0.7566  1 Ag 3.03, 3 Sn 3.15-3.23, 2 Bi 3.17
Te 0.0000 0.2607 0.7591  2 Ag 3.10, 3 Sn 3.12-3.22, 1 Bi 3.14
Te 0.0000 0.7393 0.2409  2 Ag 3.10, 3 Sn 3.12-3.22, 1 Bi 3.14

Density of states at the Fermi level (states/eV per cell): 1.38
Space-group type: P2/m, No. 10
Electronic total energy (eV per atom): -3.61

Record 3
First-principles (PBE-GGA) data for crystalline TlZn12 at its relaxed geometry, as listed in the Alexandria database.

Cell: 5.3619 6.9163 6.9163 Å, 81.36 67.19 67.19°
With the nearest neighbours (Å) after each atom.
Sites, in units of the cell vectors:
Tl 0.0000 0.0000 0.0000  20 Zn 3.19-3.46
Zn 0.5000 0.0000 0.5000  10 Zn 2.63-2.78
Zn 0.0000 0.0000 0.5000  10 Zn 2.63-2.78
Zn 0.5000 0.5000 0.0000  10 Zn 2.63-2.78
Zn 0.0000 0.5000 0.0000  10 Zn 2.63-2.78
Zn 0.0000 0.6463 0.3537  9 Zn 2.64-2.91
Zn 0.0000 0.3537 0.6463  9 Zn 2.64-2.91
Zn 0.6463 0.3537 0.3537  9 Zn 2.64-2.91
Zn 0.3537 0.6463 0.6463  9 Zn 2.64-2.91
Zn 0.5000 0.2284 0.7716  10 Zn 2.63-2.91
Zn 0.5000 0.7716 0.2284  10 Zn 2.63-2.91
Zn 0.7284 0.7716 0.7716  10 Zn 2.63-2.91
Zn 0.2716 0.2284 0.2284  10 Zn 2.63-2.91

Density of states at the Fermi level (states/eV per cell): 4.69
Space-group type: I4/mmm, No. 139
Electronic total energy (eV per atom): -1.30

Record 4
First-principles (PBE-GGA) data for crystalline CaLa2Se at its relaxed geometry, as listed in the Alexandria database.

Cell: 6.8254 6.8254 6.8254 Å, 141.35 141.35 55.81°
With the nearest neighbours (Å) after each atom.
Sites, in units of the cell vectors:
Ca 0.7500 0.2500 0.5000  4 Se 3.19
Se 0.2500 0.7500 0.5000  4 Ca 3.19
La 0.0000 0.0000 0.0000  4 La 3.19
La 0.5000 0.5000 0.0000  4 La 3.19

Density of states at the Fermi level (states/eV per cell): 4.06
Space-group type: I4/mmm, No. 139
Electronic total energy (eV per atom): -4.31

Record 5
First-principles (PBE-GGA) data for crystalline UTl2S2Cl4 at its relaxed geometry, as listed in the Alexandria database.

Cell: 7.3379 7.4439 7.4439 Å, 57.37 60.24 60.24°
With the nearest neighbours (Å) after each atom.
Sites, in units of the cell vectors:
U 0.5000 0.0000 0.0000  2 S 2.40, 4 Cl 2.58
Tl 0.2413 0.7551 0.7551  1 S 3.14, 4 Cl 3.45-3.46
Tl 0.7587 0.2449 0.2449  1 S 3.14, 4 Cl 3.45-3.46
S 0.2119 0.2174 0.2174  1 U 2.40
S 0.7881 0.7826 0.7826  1 U 2.40
Cl 0.2901 0.7113 0.2154  1 U 2.58
Cl 0.7099 0.7846 0.2887  1 U 2.58
Cl 0.7099 0.2887 0.7846  1 U 2.58
Cl 0.2901 0.2154 0.7113  1 U 2.58

Space-group type: C2/m, No. 12
Electronic total energy (eV per atom): -4.66

Record 6
First-principles (PBE-GGA) data for crystalline Hf2BiAu at its relaxed geometry, as listed in the Alexandria database.

Cell: 7.8074 7.8074 6.3239 Å, 51.88 51.88 90.00°
With the nearest neighbours (Å) after each atom.
Sites, in units of the cell vectors:
Hf 0.6026 0.1250 0.2500  2 Au 2.75, 2 Bi 2.99
Hf 0.1474 0.6250 0.2500  2 Au 2.75, 2 Bi 2.99
Hf 0.3750 0.3974 0.7500  2 Au 2.75, 2 Bi 2.99
Hf 0.8750 0.8526 0.7500  2 Au 2.75, 2 Bi 2.99
Au 0.5000 0.5000 0.0000  4 Hf 2.75
Au 0.2500 0.7500 0.5000  4 Hf 2.75
Bi 0.0000 0.0000 0.0000  4 Hf 2.99, 2 Au 3.08
Bi 0.7500 0.2500 0.5000  4 Hf 2.99, 2 Au 3.08

Density of states at the Fermi level (states/eV per cell): 6.16
Space-group type: I-42d, No. 122
Electronic total energy (eV per atom): -6.80

Record 7
First-principles (PBE-GGA) data for crystalline KTa2TcNi at its relaxed geometry, as listed in the Alexandria database.

Cell: 4.8309 4.9765 4.8309 Å, 90.00 90.00 90.00°
With the nearest neighbours (Å) after each atom.
Sites, in units of the cell vectors:
Ni 0.0000 0.5000 0.0000  2 Tc 2.49
K 0.5000 0.5000 0.5000  4 Ni 3.42, 8 Ta 3.47
Tc 0.0000 0.0000 0.0000  4 Ta 2.42, 2 Ni 2.49
Ta 0.0000 0.0000 0.5000  2 Tc 2.42
Ta 0.5000 0.0000 0.0000  2 Tc 2.42

Density of states at the Fermi level (states/eV per cell): 5.48
Space-group type: P4/mmm, No. 123
Electronic total energy (eV per atom): -6.92

Record 8
First-principles (PBE-GGA) data for crystalline Ca2CrHg at its relaxed geometry, as listed in the Alexandria database.

Cell: 3.7835 3.7906 8.4847 Å, 63.46 90.00 90.00°
With the nearest neighbours (Å) after each atom.
Sites, in units of the cell vectors:
Cr 0.5000 0.2500 0.2500  8 Ca 3.30
Ca 0.0000 0.0045 0.9956  4 Hg 3.26, 4 Cr 3.30
Ca 0.0000 0.4955 0.5044  4 Hg 3.26, 4 Cr 3.30
Hg 0.5000 0.7500 0.7500  8 Ca 3.26

Density of states at the Fermi level (states/eV per cell): 3.06
Space-group type: P4/mmm, No. 123
Electronic total energy (eV per atom): -3.40

What is the electronic total energy in the fifth record?
-4.66 eV per atom

Which value of electronic total energy does entry 1 give?
-6.89 eV per atom